(1)
# DyScHgPb (PBE, relaxed)
# - formation enthalpy at 0 K (meV per atom) = -398
# - theoretical density (kg/m3) = 10209
data_DyScHgPb
_cell_length_a 7.370
_cell_length_b 7.370
_cell_length_c 7.370
_cell_angle_alpha 90.00
_cell_angle_beta 90.00
_cell_angle_gamma 90.00
_space_group_name_H-M_alt 'F -4 3 m'
_space_group_IT_number 216
_space_group_name_Hall 'F -4 2 3'
loop_
_atom_site_label
_atom_site_type_symbol
_atom_site_fract_x
_atom_site_fract_y
_atom_site_fract_z
Dy1 Dy 0.000 0.000 0.000
Sc1 Sc 0.000 0.000 0.500
Hg1 Hg 0.250 0.250 0.750
Pb1 Pb 0.250 0.250 0.250

(2)
# CeZnRu2 (PBE, relaxed)
# - formation enthalpy at 0 K (meV per atom) = -240
# - theoretical density (kg/m3) = 10107
data_CeZnRu2
_cell_length_a 4.283
_cell_length_b 4.283
_cell_length_c 3.651
_cell_angle_alpha 90.00
_cell_angle_beta 90.00
_cell_angle_gamma 90.00
_space_group_name_H-M_alt 'P 4/m m m'
_space_group_IT_number 123
_space_group_name_Hall '-P 4 2'
loop_
_atom_site_label
_atom_site_type_symbol
_atom_site_fract_x
_atom_site_fract_y
_atom_site_fract_z
Ce1 Ce 0.000 0.000 0.000
Zn1 Zn 0.500 0.500 0.000
Ru1 Ru 0.000 0.500 0.500

(3)
# Ac6PIr2Se3 (PBE, relaxed)
# - theoretical density (kg/m3) = 8834
# - energy relative to the elements, uncorrected (meV per atom) = -1410
data_Ac6PIr2Se3
_cell_length_a 7.619
_cell_length_b 13.199
_cell_length_c 7.959
_cell_angle_alpha 90.00
_cell_angle_beta 108.88
_cell_angle_gamma 90.00
_space_group_name_H-M_alt 'C 1 2/m 1'
_space_group_IT_number 12
loop_
_space_group_symop_operation_xyz
'x,y,z'
'-x,-y,-z'
'-x,y,-z'
'x,-y,z'
'x+1/2,y+1/2,z'
'-x+1/2,-y+1/2,-z'
'-x+1/2,y+1/2,-z'
'x+1/2,-y+1/2,z'
loop_
_atom_site_label
_atom_site_type_symbol
_atom_site_fract_x
_atom_site_fract_y
_atom_site_fract_z
Ac1 Ac 0.233 0.000 0.226
Ac2 Ac 0.245 0.329 0.226
P1 P 0.000 0.500 0.000
Ir1 Ir 0.000 0.167 0.000
Se1 Se 0.000 0.000 0.500
Se2 Se 0.000 0.338 0.500